No. 1
Entry from the Alexandria database: crystalline ZnTc2Ir at its relaxed geometry (PBE).

Its crystal system is tetragonal. As for the total magnetization: 0.00 μB/f.u. The density of states at the Fermi level comes out at 6.52 states/eV per cell.

Structure (CIF):
```
data_ZnTc2Ir
_cell_length_a 3.699
_cell_length_b 3.699
_cell_length_c 8.376
_cell_angle_alpha 90.00
_cell_angle_beta 90.00
_cell_angle_gamma 90.00
_symmetry_space_group_name_H-M 'I 4/m m m'
_symmetry_Int_Tables_number 139
_symmetry_space_group_name_Hall '-I 4 2'
loop_
_atom_site_label
_atom_site_fract_x
_atom_site_fract_y
_atom_site_fract_z
Zn1 0.000 0.000 0.000
Tc1 0.000 0.500 0.250
Ir1 0.000 0.000 0.500
```

No. 2
Entry from the Alexandria database: crystalline ZnTcIr2 at its relaxed geometry (PBE).

Its crystal system is trigonal. As for the total magnetization: 0.00 μB/f.u. The density of states at the Fermi level comes out at 20.37 states/eV per cell.

Structure (CIF):
```
data_ZnTcIr2
_cell_length_a 2.7542
_cell_length_b 2.7542
_cell_length_c 26.5357
_cell_angle_alpha 90.00
_cell_angle_beta 90.00
_cell_angle_gamma 120.00
_symmetry_space_group_name_H-M 'R 3 m'
_symmetry_Int_Tables_number 160
_symmetry_space_group_name_Hall 'R 3 -2"'
loop_
_atom_site_label
_atom_site_fract_x
_atom_site_fract_y
_atom_site_fract_z
Zn1 0.0000 0.0000 0.0000
Tc1 0.0000 0.0000 0.7520
Ir1 0.0000 0.0000 0.2513
Ir2 0.0000 0.0000 0.4982
```

No. 3
Entry from the Alexandria database: crystalline ZrZn2TcIr at its relaxed geometry (PBE).

Its crystal system is tetragonal. As for the total magnetization: 0.00 μB/f.u. The density of states at the Fermi level comes out at 4.50 states/eV per cell.

Structure (CIF):
```
data_ZrZn2TcIr
_cell_length_a 4.644
_cell_length_b 4.644
_cell_length_c 4.707
_cell_angle_alpha 90.00
_cell_angle_beta 90.00
_cell_angle_gamma 90.00
_symmetry_space_group_name_H-M 'P 4/m m m'
_symmetry_Int_Tables_number 123
_symmetry_space_group_name_Hall '-P 4 2'
loop_
_atom_site_label
_atom_site_fract_x
_atom_site_fract_y
_atom_site_fract_z
Zr1 0.000 0.000 0.000
Zn1 0.000 0.500 0.500
Tc1 0.500 0.500 0.500
Ir1 0.500 0.500 0.000
```

No. 4
Entry from the Alexandria database: crystalline ZrTcIr3 at its relaxed geometry (PBE).

Its crystal system is cubic. As for the total magnetization: 0.00 μB/f.u. The density of states at the Fermi level comes out at 5.47 states/eV per cell.

Structure (CIF):
```
data_ZrTcIr3
_cell_length_a 4.682
_cell_length_b 4.682
_cell_length_c 4.682
_cell_angle_alpha 90.00
_cell_angle_beta 90.00
_cell_angle_gamma 90.00
_symmetry_space_group_name_H-M 'P m -3 m'
_symmetry_Int_Tables_number 221
_symmetry_space_group_name_Hall '-P 4 2 3'
loop_
_atom_site_label
_atom_site_fract_x
_atom_site_fract_y
_atom_site_fract_z
Zr1 0.000 0.000 0.000
Tc1 0.500 0.500 0.500
Ir1 0.000 0.500 0.500
```

No. 5
Entry from the Alexandria database: crystalline Zr4Tc3Ir at its relaxed geometry (PBE).

Its crystal system is orthorhombic. As for the total magnetization: 0.00 μB/f.u. The density of states at the Fermi level comes out at 5.68 states/eV per cell.

Structure (CIF):
```
data_Zr4Tc3Ir
_cell_length_a 3.303
_cell_length_b 4.659
_cell_length_c 9.290
_cell_angle_alpha 90.00
_cell_angle_beta 90.00
_cell_angle_gamma 90.00
_symmetry_space_group_name_H-M 'P m m m'
_symmetry_Int_Tables_number 47
_symmetry_space_group_name_Hall '-P 2 2'
loop_
_atom_site_label
_atom_site_fract_x
_atom_site_fract_y
_atom_site_fract_z
Zr1 0.000 0.000 0.000
Zr2 0.000 0.000 0.500
Zr3 0.000 0.500 0.247
Tc1 0.500 0.000 0.253
Tc2 0.500 0.500 0.000
Ir1 0.500 0.500 0.500
```

No. 6
Entry from the Alexandria database: crystalline ZrTcIr at its relaxed geometry (PBE).

Its crystal system is monoclinic. As for the total magnetization: 0.00 μB/f.u. The density of states at the Fermi level comes out at 11.11 states/eV per cell.

Structure (CIF):
```
data_ZrTcIr
_cell_length_a 14.449
_cell_length_b 2.998
_cell_length_c 4.737
_cell_angle_alpha 90.00
_cell_angle_beta 100.40
_cell_angle_gamma 90.00
_symmetry_space_group_name_H-M 'C 1 m 1'
_symmetry_Int_Tables_number 8
_symmetry_space_group_name_Hall 'C -2y'
loop_
_atom_site_label
_atom_site_fract_x
_atom_site_fract_y
_atom_site_fract_z
Zr1 0.000 0.000 0.000
Zr2 0.194 0.500 0.159
Tc1 0.011 0.500 0.497
Tc2 0.348 0.500 0.576
Ir1 0.166 0.000 0.644
Ir2 0.343 0.000 0.063
```

No. 7
Entry from the Alexandria database: crystalline Zr3Tc2Ir at its relaxed geometry (PBE).

Its crystal system is tetragonal. As for the total magnetization: 0.00 μB/f.u. The density of states at the Fermi level comes out at 5.15 states/eV per cell.

Structure (CIF):
```
data_Zr3Tc2Ir
_cell_length_a 3.305
_cell_length_b 3.305
_cell_length_c 9.841
_cell_angle_alpha 90.00
_cell_angle_beta 90.00
_cell_angle_gamma 90.00
_symmetry_space_group_name_H-M 'P 4/m m m'
_symmetry_Int_Tables_number 123
_symmetry_space_group_name_Hall '-P 4 2'
loop_
_atom_site_label
_atom_site_fract_x
_atom_site_fract_y
_atom_site_fract_z
Zr1 0.000 0.000 0.000
Zr2 0.000 0.000 0.329
Tc1 0.500 0.500 0.169
Ir1 0.500 0.500 0.500
```

No. 8
Entry from the Alexandria database: crystalline ZrTcIr at its relaxed geometry (PBE).

Its crystal system is orthorhombic. As for the total magnetization: 0.00 μB/f.u. The density of states at the Fermi level comes out at 6.25 states/eV per cell.

Structure (CIF):
```
data_ZrTcIr
_cell_length_a 2.834
_cell_length_b 3.925
_cell_length_c 9.254
_cell_angle_alpha 90.00
_cell_angle_beta 90.00
_cell_angle_gamma 90.00
_symmetry_space_group_name_H-M 'I m m 2'
_symmetry_Int_Tables_number 44
_symmetry_space_group_name_Hall 'I 2 -2'
loop_
_atom_site_label
_atom_site_fract_x
_atom_site_fract_y
_atom_site_fract_z
Zr1 0.000 0.000 0.000
Tc1 0.000 0.000 0.309
Ir1 0.000 0.000 0.691
```

| no. | VASP energy (eV per cell) | energy of formation from the pure elements (eV/atom) |
| --- | --- | --- |
| 1 | -61.7 | 0.01 |
| 2 | -88.2 | -0.01 |
| 3 | -26.8 | 0.71 |
| 4 | -40.1 | 1.07 |
| 5 | -78.4 | -0.54 |
| 6 | -114.4 | -0.27 |
| 7 | -58.7 | -0.57 |
| 8 | -56.7 | -0.20 |